## BaSc2Be (PBE-GGA)

Data for crystalline BaSc2Be at its relaxed geometry.

Cell: 5.620 5.620 5.620 Å, 129.98 129.98 73.44°
Sites, in units of the cell vectors:
Sc: 0.250 0.750 0.500
Be: 0.750 0.250 0.500
Sc: 0.000 0.000 0.000
Ba: 0.500 0.500 0.000

Output
M_tot, μB per formula unit: 0.001
DOS(E_F), states/eV/f.u.: 6.3
Crystal system: tetragonal
Uncorrected energy, eV per atom: -3.978
E_form, eV/atom: 0.5999
SG: I-4m2